First-principles (PBE-GGA) data for Na5In2Pb2 after structural relaxation, as listed in the Alexandria database.

Calculated values
VASP energy = -2.28 eV per atom
ΔE_f = -0.12 eV per atom

Cell: 6.513 6.513 8.688 Å, 103.77 103.77 48.26°
Fractional positions:
Na  0.000  0.000  0.000
Na  0.117  0.117  0.685
Na  0.435  0.435  0.714
Na  0.565  0.565  0.286
Na  0.883  0.883  0.315
In  0.308  0.308  0.060
In  0.692  0.692  0.940
Pb  0.214  0.214  0.374
Pb  0.786  0.786  0.626